# PBE-GGA BaAc3Zn2, relaxed
data_BaAc3Zn2
_chemical_formula_sum 'Ba1 Ac3 Zn2'
_cell_length_a 3.9837
_cell_length_b 3.9837
_cell_length_c 14.0631
_cell_angle_alpha 90.00
_cell_angle_beta 90.00
_cell_angle_gamma 90.00
_space_group_name_H-M_alt 'P 4/m m m'
_space_group_IT_number 123
_space_group_name_Hall '-P 4 2'
loop_
_atom_site_label
_atom_site_fract_x
_atom_site_fract_y
_atom_site_fract_z
_atom_site_occupancy
Ba1 0.0000 0.0000 0.0000 1
Ac1 0.5000 0.5000 0.2326 1
Ac2 0.5000 0.5000 0.5000 1
Zn1 0.0000 0.0000 0.3624 1
# * crystal system: tetragonal
# * formation enthalpy at 0 K: -0.1321 eV/atom
# * total magnetization: 0.01 μB/cell
# * calculated total energy: -2.931 eV/atom